## i
Density functional theory data (GGA-PBE) for an optimized crystal structure of TaPtW2.

Summary:
total magnetization = 0.000 μB/atom
symmetry = F-43m

Cell and atoms, written as extended XYZ:
```
4
Lattice="0.000 3.212 3.212 3.212 0.000 3.212 3.212 3.212 0.000" Properties=species:S:1:pos:R:3 pbc="T T T"
Ta 0.000 0.000 0.000
Pt 4.819 4.819 4.819
W 1.606 1.606 1.606
W 3.212 3.212 3.212
```

=====

## ii
Density functional theory data (GGA-PBE) for an optimized crystal structure of TaPtW2.

Summary:
total magnetization = 0.000 μB/atom
symmetry = P4mm

Cell and atoms, written as extended XYZ:
```
4
Lattice="3.296 0.000 0.000 0.000 3.296 0.000 0.000 0.000 6.101" Properties=species:S:1:pos:R:3 pbc="T T T"
Ta 0.000 0.000 0.000
Pt 1.648 1.648 4.630
W 0.000 0.000 2.991
W 1.648 1.648 1.585
```

=====

## iii
Density functional theory data (GGA-PBE) for an optimized crystal structure of TaPtW2.

Summary:
total magnetization = 0.000 μB/atom
symmetry = Imm2

Cell and atoms, written as extended XYZ:
```
4
Lattice="-1.835 2.147 4.185 1.835 -2.147 4.185 1.835 2.147 -4.185" Properties=species:S:1:pos:R:3 pbc="T T T"
Ta 0.000 0.000 0.000
Pt 0.000 2.147 2.027
W 1.835 0.000 2.077
W 0.000 0.000 4.048
```

=====

## iv
Density functional theory data (GGA-PBE) for an optimized crystal structure of TaPtW2.

Summary:
total magnetization = 0.000 μB/atom
symmetry = P4/mmm

Cell and atoms, written as extended XYZ:
```
4
Lattice="3.313 0.000 0.000 0.000 3.313 0.000 0.000 0.000 6.029" Properties=species:S:1:pos:R:3 pbc="T T T"
Ta 0.000 0.000 0.000
Pt 0.000 0.000 3.014
W 1.656 1.656 1.508
W 1.656 1.656 4.521
```

=====

Energies relative to the most stable structure, in meV per atom: i 121; ii 0; iii 29; iv 145.

=====

## i
Density functional theory data (GGA-PBE) for an optimized crystal structure of TaPtW2.

Summary:
total magnetization = 0.000 μB/atom
symmetry = Pmm2

Cell and atoms, written as extended XYZ:
```
4
Lattice="2.744 0.000 0.000 0.000 4.114 0.000 0.000 0.000 5.849" Properties=species:S:1:pos:R:3 pbc="T T T"
Ta 0.000 0.000 0.000
Pt 1.372 2.057 4.432
W 0.000 0.000 2.953
W 1.372 2.057 1.549
```

=====

## ii
Density functional theory data (GGA-PBE) for an optimized crystal structure of TaPtW2.

Summary:
total magnetization = 0.000 μB/atom
symmetry = Immm

Cell and atoms, written as extended XYZ:
```
4
Lattice="-1.807 2.121 4.308 1.807 -2.121 4.308 1.807 2.121 -4.308" Properties=species:S:1:pos:R:3 pbc="T T T"
Ta 0.000 0.000 0.000
Pt 0.000 0.000 4.308
W 1.807 0.000 2.082
W 0.000 2.121 2.226
```

=====

Energies relative to the most stable structure, in meV per atom: i 27; ii 0.

=====

## i
Density functional theory data (GGA-PBE) for an optimized crystal structure of TaPtW2.

Summary:
total magnetization = 0.000 μB/atom
symmetry = Pmmm

Cell and atoms, written as extended XYZ:
```
4
Lattice="2.743 0.000 0.000 0.000 4.138 0.000 0.000 0.000 5.826" Properties=species:S:1:pos:R:3 pbc="T T T"
Ta 0.000 0.000 0.000
Pt 0.000 0.000 2.913
W 1.371 2.069 1.497
W 1.371 2.069 4.328
```

=====

## ii
Density functional theory data (GGA-PBE) for an optimized crystal structure of TaPtW2.

Summary:
total magnetization = 0.000 μB/atom
symmetry = Cmmm

Cell and atoms, written as extended XYZ:
```
4
Lattice="1.729 -2.147 0.000 1.729 2.147 0.000 0.000 0.000 8.857" Properties=species:S:1:pos:R:3 pbc="T T T"
Ta 0.000 0.000 0.000
Pt 0.000 0.000 4.429
W 1.729 0.000 2.293
W 1.729 0.000 6.564
```

=====

Energies relative to the most stable structure, in meV per atom: i 141; ii 0.

=====

## i
Density functional theory data (GGA-PBE) for an optimized crystal structure of TaPtW.

Summary:
total magnetization = 0.000 μB/atom
symmetry = P3m1

Cell and atoms, written as extended XYZ:
```
3
Lattice="2.835 0.000 0.000 -1.418 2.455 0.000 0.000 0.000 7.177" Properties=species:S:1:pos:R:3 pbc="T T T"
Ta 0.000 0.000 0.000
Pt 0.000 1.637 4.842
W 1.418 0.818 2.522
```

=====

## ii
Density functional theory data (GGA-PBE) for an optimized crystal structure of TaPtW.

Summary:
total magnetization = 0.000 μB/atom
symmetry = Imm2

Cell and atoms, written as extended XYZ:
```
3
Lattice="-1.392 1.988 4.516 1.392 -1.988 4.516 1.392 1.988 -4.516" Properties=species:S:1:pos:R:3 pbc="T T T"
Ta 0.000 0.000 0.000
Pt 0.000 0.000 2.989
W 0.000 0.000 6.014
```

=====

Energies relative to the most stable structure, in meV per atom: i 69; ii 0.

=====

## i
Density functional theory data (GGA-PBE) for an optimized crystal structure of Ta3PtW.

Summary:
total magnetization = 0.000 μB/atom
symmetry = Pm-3m

Cell and atoms, written as extended XYZ:
```
5
Lattice="4.805 0.000 0.000 0.000 4.805 0.000 0.000 0.000 4.805" Properties=species:S:1:pos:R:3 pbc="T T T"
Ta 0.000 0.000 2.402
Ta 0.000 2.402 0.000
Ta 2.402 0.000 0.000
Pt 2.402 2.402 2.402
W 0.000 0.000 0.000
```

=====

## ii
Density functional theory data (GGA-PBE) for an optimized crystal structure of Ta3PtW.

Summary:
total magnetization = 0.000 μB/atom
symmetry = Pm-3m

Cell and atoms, written as extended XYZ:
```
5
Lattice="4.805 0.000 0.000 0.000 4.805 0.000 0.000 0.000 4.805" Properties=species:S:1:pos:R:3 pbc="T T T"
Ta 0.000 0.000 2.403
Ta 0.000 2.403 0.000
Ta 2.403 0.000 0.000
Pt 0.000 0.000 0.000
W 2.403 2.403 2.403
```

=====

Energies relative to the most stable structure, in meV per atom: i 0; ii 47.

=====

## i
Density functional theory data (GGA-PBE) for an optimized crystal structure of Ta2Pt2W.

Summary:
total magnetization = 0.000 μB/atom
symmetry = P4/mbm

Cell and atoms, written as extended XYZ:
```
10
Lattice="7.802 0.000 0.000 0.000 7.802 0.000 0.000 0.000 2.818" Properties=species:S:1:pos:R:3 pbc="T T T"
Ta 1.357 2.544 0.000
Ta 2.544 6.445 0.000
Ta 5.258 1.357 0.000
Ta 6.445 5.258 0.000
Pt 0.969 4.870 1.409
Pt 2.931 0.969 1.409
Pt 4.870 6.832 1.409
Pt 6.832 2.931 1.409
W 0.000 0.000 1.409
W 3.901 3.901 1.409
```

=====

## ii
Density functional theory data (GGA-PBE) for an optimized crystal structure of Ta2Pt2W.

Summary:
total magnetization = 0.000 μB/atom
symmetry = I4/mmm

Cell and atoms, written as extended XYZ:
```
5
Lattice="-1.948 1.948 6.033 1.948 -1.948 6.033 1.948 1.948 -6.033" Properties=species:S:1:pos:R:3 pbc="T T T"
Ta 1.948 0.000 3.016
Ta 0.000 1.948 3.016
Pt 0.000 0.000 1.228
Pt 0.000 0.000 10.837
W 0.000 0.000 6.033
```

=====

Energies relative to the most stable structure, in meV per atom: i 0; ii 520.

=====

## i
Density functional theory data (GGA-PBE) for an optimized crystal structure of Y2TaPt.

Summary:
total magnetization = 0.000 μB/atom
symmetry = Amm2

Cell and atoms, written as extended XYZ:
```
4
Lattice="3.663 0.000 0.000 0.000 2.373 5.732 0.000 -2.373 5.732" Properties=species:S:1:pos:R:3 pbc="T T T"
Y 0.000 0.000 0.000
Y 1.832 0.000 3.486
Ta 1.832 0.000 6.781
Pt 0.000 0.000 8.519
```

=====

## ii
Density functional theory data (GGA-PBE) for an optimized crystal structure of Y2TaPt.

Summary:
total magnetization = 0.000 μB/atom
symmetry = P4/mmm

Cell and atoms, written as extended XYZ:
```
4
Lattice="3.401 0.000 0.000 0.000 3.401 0.000 0.000 0.000 7.850" Properties=species:S:1:pos:R:3 pbc="T T T"
Y 0.000 0.000 1.777
Y 0.000 0.000 6.073
Ta 1.700 1.700 3.925
Pt 1.700 1.700 0.000
```

=====

## iii
Density functional theory data (GGA-PBE) for an optimized crystal structure of Y2TaPt.

Summary:
total magnetization = 0.680 μB/atom
symmetry = Fm-3m

Cell and atoms, written as extended XYZ:
```
4
Lattice="0.000 3.568 3.568 3.568 0.000 3.568 3.568 3.568 0.000" Properties=species:S:1:pos:R:3 pbc="T T T"
Y 1.784 1.784 1.784
Y 5.353 5.353 5.353
Ta 0.000 0.000 0.000
Pt 3.568 3.568 3.568
```

=====

Energies relative to the most stable structure, in meV per atom: i 0; ii 28; iii 252.

=====

## i
Density functional theory data (GGA-PBE) for an optimized crystal structure of Y2TaPt.

Summary:
total magnetization = 0.000 μB/atom
symmetry = Cm

Cell and atoms, written as extended XYZ:
```
4
Lattice="5.889 -1.688 0.000 5.889 1.688 0.000 -2.253 0.000 4.726" Properties=species:S:1:pos:R:3 pbc="T T T"
Y 0.000 0.000 0.000
Y 0.906 0.000 3.108
Ta 8.713 0.000 1.081
Pt 4.283 0.000 2.454
```

=====

## ii
Density functional theory data (GGA-PBE) for an optimized crystal structure of Y2TaPt.

Summary:
total magnetization = 0.000 μB/atom
symmetry = I-42d

Cell and atoms, written as extended XYZ:
```
8
Lattice="-4.041 4.041 2.952 4.041 -4.041 2.952 4.041 4.041 -2.952" Properties=species:S:1:pos:R:3 pbc="T T T"
Y 6.062 1.694 -0.738
Y 1.694 2.021 0.738
Y -2.021 2.348 2.214
Y 2.348 2.021 3.690
Ta 4.041 0.000 1.476
Ta 0.000 0.000 2.952
Pt 0.000 0.000 0.000
Pt 0.000 4.041 1.476
```

=====

Energies relative to the most stable structure, in meV per atom: i 0; ii 435.

=====

## i
Density functional theory data (GGA-PBE) for an optimized crystal structure of Y2TaPt.

Summary:
total magnetization = 0.000 μB/atom
symmetry = R-3m

Cell and atoms, written as extended XYZ:
```
4
Lattice="1.704 0.984 9.289 -1.704 0.984 9.289 0.000 -1.968 9.289" Properties=species:S:1:pos:R:3 pbc="T T T"
Y 0.000 0.000 6.751
Y 0.000 0.000 21.116
Ta 0.000 0.000 0.000
Pt 0.000 0.000 13.934
```

=====

## ii
Density functional theory data (GGA-PBE) for an optimized crystal structure of Y2TaPt.

Summary:
total magnetization = 0.287 μB/atom
symmetry = Immm

Cell and atoms, written as extended XYZ:
```
4
Lattice="-1.927 2.442 4.785 1.927 -2.442 4.785 1.927 2.442 -4.785" Properties=species:S:1:pos:R:3 pbc="T T T"
Y 0.000 0.000 2.088
Y 0.000 0.000 7.481
Ta 0.000 2.442 0.000
Pt 1.927 0.000 0.000
```

=====

## iii
Density functional theory data (GGA-PBE) for an optimized crystal structure of Y2TaPt.

Summary:
total magnetization = 0.000 μB/atom
symmetry = R3m

Cell and atoms, written as extended XYZ:
```
4
Lattice="1.780 1.028 9.345 -1.780 1.028 9.345 0.000 -2.056 9.345" Properties=species:S:1:pos:R:3 pbc="T T T"
Y 0.000 0.000 0.000
Y 0.000 0.000 6.184
Ta 0.000 0.000 13.001
Pt 0.000 0.000 20.764
```

=====

## iv
Density functional theory data (GGA-PBE) for an optimized crystal structure of Y2TaPt.

Summary:
total magnetization = 0.000 μB/atom
symmetry = P4mm

Cell and atoms, written as extended XYZ:
```
4
Lattice="3.313 0.000 0.000 0.000 3.313 0.000 0.000 0.000 8.738" Properties=species:S:1:pos:R:3 pbc="T T T"
Y 0.000 0.000 0.000
Y 1.656 1.656 3.126
Ta 1.656 1.656 6.580
Pt 0.000 0.000 5.177
```

=====

Energies relative to the most stable structure, in meV per atom: i 262; ii 244; iii 283; iv 0.

=====

## i
Density functional theory data (GGA-PBE) for an optimized crystal structure of Y2TaPt.

Summary:
total magnetization = 0.000 μB/atom
symmetry = I-4m2

Cell and atoms, written as extended XYZ:
```
4
Lattice="-2.093 2.093 5.081 2.093 -2.093 5.081 2.093 2.093 -5.081" Properties=species:S:1:pos:R:3 pbc="T T T"
Y 0.000 0.000 0.000
Y 0.000 2.093 2.541
Ta 0.000 0.000 5.081
Pt 2.093 0.000 2.541
```

=====

## ii
Density functional theory data (GGA-PBE) for an optimized crystal structure of Y2TaPt.

Summary:
total magnetization = 0.000 μB/atom
symmetry = F-43m

Cell and atoms, written as extended XYZ:
```
4
Lattice="0.000 3.481 3.481 3.481 0.000 3.481 3.481 3.481 0.000" Properties=species:S:1:pos:R:3 pbc="T T T"
Y 0.000 0.000 0.000
Y 1.741 1.741 1.741
Ta 5.222 5.222 5.222
Pt 3.481 3.481 3.481
```

=====

Energies relative to the most stable structure, in meV per atom: i 0; ii 86.

=====

## i
Density functional theory data (GGA-PBE) for an optimized crystal structure of YTaPt.

Summary:
total magnetization = 0.000 μB/atom
symmetry = P-6m2

Cell and atoms, written as extended XYZ:
```
3
Lattice="4.361 0.000 0.000 -2.181 3.777 0.000 0.000 0.000 4.253" Properties=species:S:1:pos:R:3 pbc="T T T"
Y 0.000 0.000 0.000
Ta 0.000 2.518 2.127
Pt 2.181 1.259 2.127
```

=====

## ii
Density functional theory data (GGA-PBE) for an optimized crystal structure of YTaPt.

Summary:
total magnetization = 0.000 μB/atom
symmetry = F-43m

Cell and atoms, written as extended XYZ:
```
3
Lattice="0.000 3.274 3.274 3.274 0.000 3.274 3.274 3.274 0.000" Properties=species:S:1:pos:R:3 pbc="T T T"
Y 0.000 0.000 0.000
Ta 3.274 3.274 3.274
Pt 1.637 1.637 1.637
```

=====

Energies relative to the most stable structure, in meV per atom: i 0; ii 245.

=====

## i
Density functional theory data (GGA-PBE) for an optimized crystal structure of YTaPt.

Summary:
total magnetization = 0.000 μB/atom
symmetry = I4mm

Cell and atoms, written as extended XYZ:
```
3
Lattice="-1.647 1.647 5.857 1.647 -1.647 5.857 1.647 1.647 -5.857" Properties=species:S:1:pos:R:3 pbc="T T T"
Y 0.000 0.000 0.000
Ta 0.000 0.000 3.622
Pt 0.000 0.000 8.151
```

=====

## ii
Density functional theory data (GGA-PBE) for an optimized crystal structure of YTaPt.

Summary:
total magnetization = 0.576 μB/atom
symmetry = F-43m

Cell and atoms, written as extended XYZ:
```
3
Lattice="0.000 3.287 3.287 3.287 0.000 3.287 3.287 3.287 0.000" Properties=species:S:1:pos:R:3 pbc="T T T"
Y 0.000 0.000 0.000
Ta 4.930 4.930 4.930
Pt 1.643 1.643 1.643
```

=====

## iii
Density functional theory data (GGA-PBE) for an optimized crystal structure of YTaPt.

Summary:
total magnetization = 0.000 μB/atom
symmetry = P3m1

Cell and atoms, written as extended XYZ:
```
3
Lattice="3.270 0.000 0.000 -1.635 2.832 0.000 0.000 0.000 6.865" Properties=species:S:1:pos:R:3 pbc="T T T"
Y 0.000 0.000 0.000
Ta 0.000 1.888 4.323
Pt 1.635 0.944 2.425
```

=====

Energies relative to the most stable structure, in meV per atom: i 0; ii 1317; iii 328.